Li3Ho2NpSe6, relaxed, DFT PBE; ΔE_f (raw) = -1.51 eV per atom; D(E_F) = 7.187 states/eV/cell; SG = No. 12
1.0
3.535 -6.117 0.000
3.535 6.117 0.000
-2.348 0.000 6.496
Li Ho Np Se
3 2 1 6
Cartesian
0.000 0.000 0.000 Li
3.535 2.052 0.000 Li
3.535 -2.052 0.000 Li
2.361 4.087 3.248 Ho
2.361 -4.087 3.248 Ho
2.361 0.000 3.248 Np
1.163 2.069 1.600 Se
-0.029 0.000 4.904 Se
1.163 -2.069 1.600 Se
3.558 2.069 4.895 Se
4.750 0.000 1.591 Se
3.558 -2.069 4.895 Se

***

LiHoNp2Te5, relaxed, DFT PBE; ΔE_f (raw) = -0.87 eV per atom; D(E_F) = 27.772 states/eV/cell; SG = No. 36
1.0
2.168 -9.253 0.000
2.168 9.253 0.000
0.000 0.000 13.067
Li Ho Np Te
2 2 4 10
Cartesian
2.168 8.143 6.534 Li
2.168 -8.143 0.000 Li
2.168 3.677 0.663 Ho
2.168 -3.677 7.197 Ho
2.168 2.297 4.510 Np
2.168 2.002 9.440 Np
2.168 -2.002 2.906 Np
2.168 -2.297 11.044 Np
2.168 9.229 10.689 Te
2.168 6.732 0.529 Te
2.168 5.739 5.029 Te
2.168 5.280 9.317 Te
2.168 0.853 1.465 Te
2.168 -0.853 7.999 Te
2.168 -5.280 2.783 Te
2.168 -5.739 11.563 Te
2.168 -6.732 7.063 Te
2.168 -9.229 4.156 Te

***

Li4Ho3NpTe8, relaxed, DFT PBE; ΔE_f (raw) = -1.15 eV per atom; D(E_F) = 8.989 states/eV/cell; SG = No. 166
1.0
4.349 2.511 7.046
-4.349 2.511 7.046
0.000 -5.022 7.046
Li Ho Np Te
4 3 1 8
Cartesian
0.000 0.000 0.000 Li
-2.175 -1.256 7.046 Li
-2.175 1.256 14.092 Li
0.000 2.511 7.046 Li
-4.349 0.000 10.569 Ho
-2.175 1.256 3.523 Ho
2.175 1.256 3.523 Ho
0.000 0.000 10.569 Np
0.000 -2.547 8.765 Te
-2.206 1.274 8.765 Te
-2.206 -1.274 12.373 Te
0.000 0.000 5.313 Te
0.000 0.000 15.825 Te
2.206 1.274 8.765 Te
2.206 -1.274 12.373 Te
0.000 2.547 12.373 Te

***

Li3Ho3NpTe8, relaxed, DFT PBE; ΔE_f (raw) = -1.13 eV per atom; D(E_F) = 3.680 states/eV/cell; SG = No. 166
1.0
4.336 2.503 7.062
-4.336 2.503 7.062
0.000 -5.007 7.062
Li Ho Np Te
3 3 1 8
Cartesian
-2.168 -1.252 7.062 Li
-2.168 1.252 14.123 Li
0.000 2.503 7.062 Li
-4.336 0.000 10.592 Ho
-2.168 1.252 3.531 Ho
2.168 1.252 3.531 Ho
0.000 0.000 10.592 Np
0.000 -2.505 8.813 Te
-2.169 1.252 8.813 Te
-2.169 -1.252 12.372 Te
0.000 0.000 5.328 Te
0.000 0.000 15.857 Te
2.169 1.252 8.813 Te
2.169 -1.252 12.372 Te
0.000 2.505 12.372 Te

***

Li4HoNp3Te8, relaxed, DFT PBE; ΔE_f (raw) = -0.91 eV per atom; D(E_F) = 27.368 states/eV/cell; SG = No. 166
1.0
4.373 2.525 7.031
-4.373 2.525 7.031
0.000 -5.050 7.031
Li Ho Np Te
4 1 3 8
Cartesian
0.000 0.000 0.000 Li
-2.187 -1.262 7.031 Li
-2.186 1.262 14.061 Li
0.000 2.525 7.031 Li
0.000 0.000 10.546 Ho
-4.373 0.000 10.546 Np
-2.186 1.262 3.515 Np
2.187 1.262 3.515 Np
0.000 -2.494 8.737 Te
-2.160 1.247 8.737 Te
0.000 0.000 5.325 Te
-2.160 -1.247 12.355 Te
2.160 1.247 8.737 Te
0.000 0.000 15.766 Te
2.160 -1.247 12.355 Te
0.000 2.494 12.355 Te

***

LiHoNpTe3, relaxed, DFT PBE; ΔE_f (raw) = -0.96 eV per atom; D(E_F) = 24.070 states/eV/cell; SG = No. 11
1.0
8.913 0.000 0.000
0.000 4.256 0.000
-2.253 0.000 9.212
Li Ho Np Te
2 2 2 6
Cartesian
0.573 1.064 0.757 Li
6.088 3.192 8.456 Li
2.186 3.192 3.103 Ho
4.474 1.064 6.109 Ho
-0.014 1.064 6.699 Np
6.675 3.192 2.513 Np
-0.004 1.064 3.421 Te
-0.151 3.192 9.205 Te
2.301 3.192 6.192 Te
4.359 1.064 3.020 Te
6.812 1.064 0.007 Te
6.665 3.192 5.791 Te

***

LiHoO3, relaxed, DFT PBE; ΔE_f (raw) = -1.83 eV per atom; D(E_F) = 1.910 states/eV/cell; SG = No. 221
1.0
3.663 0.000 0.000
0.000 3.663 0.000
0.000 0.000 3.663
Li Ho O
1 1 3
Cartesian
0.000 0.000 0.000 Li
1.832 1.832 1.832 Ho
0.000 0.000 1.832 O
0.000 1.832 0.000 O
1.832 0.000 0.000 O

***

LiHo2O3, relaxed, DFT PBE; distance to the lowest polymorph of the same formula = 30 meV per atom; ΔE_f (raw) = -2.78 eV per atom; D(E_F) = 2.447 states/eV/cell; SG = No. 8
1.0
7.257 0.000 0.000
0.000 3.586 0.000
-2.042 0.000 6.335
Li Ho O
2 4 6
Cartesian
0.000 0.000 0.000 Li
3.629 1.793 0.000 Li
0.081 0.000 4.458 Ho
1.488 1.793 1.756 Ho
3.709 1.793 4.458 Ho
5.117 0.000 1.756 Ho
0.067 0.000 2.157 O
2.151 0.000 0.363 O
1.467 1.793 4.089 O
3.695 1.793 2.157 O
5.780 1.793 0.363 O
5.096 0.000 4.089 O

***

LiHoO2, relaxed, DFT PBE; ΔE_f (raw) = -2.87 eV per atom; D(E_F) = 0.000 states/eV/cell; SG = No. 166
1.0
3.354 0.000 0.000
-1.677 2.905 0.000
0.000 0.000 15.170
Li Ho O
3 3 6
Cartesian
0.000 0.000 0.000 Li
0.000 1.937 10.113 Li
1.677 0.968 5.057 Li
0.000 0.000 7.585 Ho
0.000 1.937 2.528 Ho
1.677 0.968 12.641 Ho
0.000 0.000 3.717 O
0.000 0.000 11.453 O
0.000 1.937 6.396 O
0.000 1.937 13.830 O
1.677 0.968 1.340 O
1.677 0.968 8.773 O

***

LiHo2O, relaxed, DFT PBE; ΔE_f (raw) = -1.15 eV per atom; D(E_F) = 7.957 states/eV/cell; SG = No. 166
1.0
3.419 0.000 0.000
-1.710 2.961 0.000
0.000 0.000 26.777
Li Ho O
3 6 3
Cartesian
0.000 0.000 0.000 Li
0.000 1.974 17.851 Li
1.710 0.987 8.926 Li
0.000 0.000 3.119 Ho
0.000 0.000 23.658 Ho
0.000 1.974 14.733 Ho
0.000 1.974 20.970 Ho
1.710 0.987 5.807 Ho
1.710 0.987 12.044 Ho
0.000 0.000 13.389 O
0.000 1.974 4.463 O
1.710 0.987 22.314 O

***

LiHo5O8, relaxed, DFT PBE; ΔE_f (raw) = -3.29 eV per atom; D(E_F) = 0.000 states/eV/cell; SG = No. 82
1.0
-3.528 3.528 3.464
3.528 -3.528 3.464
3.528 3.528 -3.464
Li Ho O
1 5 8
Cartesian
0.000 0.000 0.000 Li
1.786 -1.048 2.556 Ho
2.480 1.742 0.908 Ho
1.742 4.576 -0.908 Ho
0.000 3.528 1.732 Ho
1.048 1.786 4.372 Ho
4.833 0.451 0.391 O
3.042 2.145 -1.228 O
0.451 2.222 -0.391 O
0.486 1.383 2.236 O
1.383 -0.486 4.692 O
3.077 1.306 3.073 O
2.145 4.014 1.228 O
-1.306 3.077 3.855 O

***

LiHo2O3, relaxed, DFT PBE; distance to the lowest polymorph of the same formula = 0 meV per atom; ΔE_f (raw) = -2.81 eV per atom; D(E_F) = 1.778 states/eV/cell; SG = No. 164
1.0
3.346 0.000 0.000
-1.673 2.898 0.000
0.000 0.000 7.888
Li Ho O
1 2 3
Cartesian
0.000 0.000 0.000 Li
0.000 1.932 5.365 Ho
1.673 0.966 2.523 Ho
0.000 0.000 3.944 O
0.000 1.932 1.320 O
1.673 0.966 6.568 O

***

no.,total moment (μB per formula unit)
1,4.00
2,8.00
3,4.01
4,2.99
5,12.00
6,4.75
7,2.00
8,0.93
9,0.00
10,0.00
11,0.00
12,0.00